Material: PPbF2
Method: DFT, PBE
State: optimized geometry

Values from the calculation:
polymorph energy (0 for the lowest one)	0	meV per atom
E_form (uncorrected)	-1065	meV/atom
magnetic moment	0.000	μB/f.u.
crystal system	trigonal

Structure (CIF):
```
data_PPbF2
_space_group_name_H-M_alt 'R -3 m'
_space_group_IT_number 166
_space_group_name_Hall '-R 3 2"'
_cell_length_a 3.2022
_cell_length_b 3.2022
_cell_length_c 24.5554
_cell_angle_alpha 90.00
_cell_angle_beta 90.00
_cell_angle_gamma 120.00
loop_
_atom_site_label
_atom_site_fract_x
_atom_site_fract_y
_atom_site_fract_z
_atom_site_occupancy
P1 0.0000 0.0000 0.0000 1
Pb1 0.0000 0.0000 0.5000 1
F1 0.0000 0.0000 0.0755 1
```

=====

Material: Rb2PPbF6
Method: DFT, PBE
State: optimized geometry

Values from the calculation:
E_form (uncorrected)	-2176	meV/atom
magnetic moment	1.000	μB/f.u.
crystal system	tetragonal

Structure (CIF):
```
data_Rb2PPbF6
_space_group_name_H-M_alt 'I 4/m m m'
_space_group_IT_number 139
_space_group_name_Hall '-I 4 2'
_cell_length_a 6.209
_cell_length_b 6.209
_cell_length_c 11.251
_cell_angle_alpha 90.00
_cell_angle_beta 90.00
_cell_angle_gamma 90.00
loop_
_atom_site_label
_atom_site_fract_x
_atom_site_fract_y
_atom_site_fract_z
_atom_site_occupancy
Rb1 0.000 0.500 0.250 1
P1 0.000 0.000 0.000 1
Pb1 0.000 0.000 0.500 1
F1 0.000 0.000 0.288 1
F2 0.221 0.221 0.000 1
```

=====

Material: P2RuPbF
Method: DFT, PBE
State: optimized geometry

Values from the calculation:
E_form (uncorrected)	-203	meV/atom
magnetic moment	0.000	μB/f.u.
crystal system	tetragonal

Structure (CIF):
```
data_P2RuPbF
_space_group_name_H-M_alt 'P 4/m m m'
_space_group_IT_number 123
_space_group_name_Hall '-P 4 2'
_cell_length_a 4.610
_cell_length_b 4.610
_cell_length_c 4.408
_cell_angle_alpha 90.00
_cell_angle_beta 90.00
_cell_angle_gamma 90.00
loop_
_atom_site_label
_atom_site_fract_x
_atom_site_fract_y
_atom_site_fract_z
_atom_site_occupancy
P1 0.000 0.500 0.000 1
Ru1 0.000 0.000 0.000 1
Pb1 0.500 0.500 0.500 1
F1 0.000 0.000 0.500 1
```

=====

Number 3 is which compound? P2RuPbF

=====

Which formula does entry 1 have? PPbF2